Entry from Alexandria via LeMat-Bulk: a relaxed PrHoEr2Tm2 crystal (PBE).

It has space group Pnnm (No. 58), with a = 6.475 Å, b = 17.699 Å, c = 3.392 Å, α = 90.00°, β = 90.00° and γ = 90.00°. The distinct sites, in fractional coordinates, are Pr at (0.000, 0.000, 0.000), Ho at (0.000, 0.500, 0.000), Er at (0.218, 0.188, 0.000) and Tm at (0.215, 0.352, 0.500).

The total magnetization comes out at 0.00 Bohr magnetons per cell. The density of states at the Fermi level comes out at 19.19 states/eV per cell. The calculated formation energy comes out at 286 meV per atom.